(1)
A plane-wave DFT calculation with PBE was carried out for a relaxed structure of MnMoAu2.

Computed properties:
For the total magnetization, the calculation gives 3.39 μB per formula unit. The energy above the lowest structure with this stoichiometry comes out at 0.00 kJ per mole of atoms. The calculation puts the calculated formation energy at 134 meV/atom. The calculation puts the density of states at the Fermi level at 2.72 states/eV/cell.

Cell and atoms, written as CIF:
```
data_MnMoAu2
_cell_length_a 2.7993
_cell_length_b 2.7993
_cell_length_c 8.3511
_cell_angle_alpha 90.00
_cell_angle_beta 90.00
_cell_angle_gamma 90.00
_symmetry_space_group_name_H-M 'P 4 m m'
_symmetry_Int_Tables_number 99
loop_
_symmetry_equiv_pos_as_xyz
'x,y,z'
'-y,x,z'
'-x,-y,z'
'y,-x,z'
'-x,y,z'
'y,x,z'
'x,-y,z'
'-y,-x,z'
loop_
_atom_site_label
_atom_site_fract_x
_atom_site_fract_y
_atom_site_fract_z
_atom_site_occupancy
Mn1 0.0000 0.0000 0.0000 1
Mo1 0.5000 0.5000 0.2302 1
Au1 0.0000 0.0000 0.4844 1
Au2 0.5000 0.5000 0.7630 1
```

(2)
A plane-wave DFT calculation with PBE was carried out for a relaxed structure of Dy2PH.

Computed properties:
For the total magnetization, the calculation gives 0.00 μB per formula unit. The energy above the lowest structure with this stoichiometry comes out at 11.11 kJ per mole of atoms. The calculation puts the density of states at the Fermi level at 0.22 states/eV/cell.

Cell and atoms, written as CIF:
```
data_Dy2PH
_cell_length_a 3.8287
_cell_length_b 3.8287
_cell_length_c 20.4321
_cell_angle_alpha 90.00
_cell_angle_beta 90.00
_cell_angle_gamma 120.00
_symmetry_space_group_name_H-M 'R 3 m'
_symmetry_Int_Tables_number 160
_symmetry_space_group_name_Hall 'R 3 -2"'
loop_
_atom_site_label
_atom_site_fract_x
_atom_site_fract_y
_atom_site_fract_z
_atom_site_occupancy
Dy1 0.0000 0.0000 0.0000 1
Dy2 0.0000 0.0000 0.1759 1
P1 0.0000 0.0000 0.5836 1
H1 0.0000 0.0000 0.3599 1
```

(3)
A plane-wave DFT calculation with PBE was carried out for a relaxed structure of GaCoPt6.

Computed properties:
For the total magnetization, the calculation gives 3.77 μB per formula unit. The calculation puts the calculated formation energy at -239 meV/atom. The calculation puts the density of states at the Fermi level at 9.17 states/eV/cell.

Cell and atoms, written as CIF:
```
data_GaCoPt6
_cell_length_a 3.9149
_cell_length_b 3.9149
_cell_length_c 7.8631
_cell_angle_alpha 90.00
_cell_angle_beta 90.00
_cell_angle_gamma 90.00
_symmetry_space_group_name_H-M 'P 4/m m m'
_symmetry_Int_Tables_number 123
_symmetry_space_group_name_Hall '-P 4 2'
loop_
_atom_site_label
_atom_site_fract_x
_atom_site_fract_y
_atom_site_fract_z
_atom_site_occupancy
Ga1 0.0000 0.0000 0.0000 1
Co1 0.0000 0.0000 0.5000 1
Pt1 0.0000 0.5000 0.2548 1
Pt2 0.5000 0.5000 0.0000 1
Pt3 0.5000 0.5000 0.5000 1
```

(4)
A plane-wave DFT calculation with PBE was carried out for a relaxed structure of Mg14CdAg.

Computed properties:
For the total magnetization, the calculation gives 0.00 μB per formula unit. The calculation puts the calculated formation energy at -43 meV/atom. The calculation puts the density of states at the Fermi level at 3.23 states/eV/cell.

Cell and atoms, written as CIF:
```
data_Mg14CdAg
_cell_length_a 6.4254
_cell_length_b 6.4254
_cell_length_c 8.5773
_cell_angle_alpha 90.00
_cell_angle_beta 90.00
_cell_angle_gamma 90.00
_symmetry_space_group_name_H-M 'P 4/m m m'
_symmetry_Int_Tables_number 123
_symmetry_space_group_name_Hall '-P 4 2'
loop_
_atom_site_label
_atom_site_fract_x
_atom_site_fract_y
_atom_site_fract_z
_atom_site_occupancy
Mg1 0.0000 0.0000 0.0000 1
Mg2 0.0000 0.5000 0.0000 1
Mg3 0.0000 0.5000 0.5000 1
Mg4 0.2470 0.2470 0.2585 1
Mg5 0.5000 0.5000 0.0000 1
Cd1 0.5000 0.5000 0.5000 1
Ag1 0.0000 0.0000 0.5000 1
```

(5)
A plane-wave DFT calculation with PBE was carried out for a relaxed structure of Ta2AgRuPt.

Computed properties:
For the total magnetization, the calculation gives 0.00 μB per formula unit. The calculation puts the calculated formation energy at 2050 meV/atom. The calculation puts the density of states at the Fermi level at 6.20 states/eV/cell.

Cell and atoms, written as CIF:
```
data_Ta2AgRuPt
_cell_length_a 4.7797
_cell_length_b 4.7797
_cell_length_c 4.7305
_cell_angle_alpha 90.00
_cell_angle_beta 90.00
_cell_angle_gamma 90.00
_symmetry_space_group_name_H-M 'P 4/m m m'
_symmetry_Int_Tables_number 123
_symmetry_space_group_name_Hall '-P 4 2'
loop_
_atom_site_label
_atom_site_fract_x
_atom_site_fract_y
_atom_site_fract_z
_atom_site_occupancy
Ta1 0.0000 0.5000 0.0000 1
Ag1 0.0000 0.0000 0.0000 1
Ru1 0.5000 0.5000 0.5000 1
Pt1 0.0000 0.0000 0.5000 1
```

(6)
A plane-wave DFT calculation with PBE was carried out for a relaxed structure of RbCdInBr6.

Computed properties:
For the total magnetization, the calculation gives 0.00 μB per formula unit. The calculation puts the density of states at the Fermi level at 0.00 states/eV/cell. The calculation puts the total DFT energy (no corrections) at -24.1 eV/cell.

Cell and atoms, written as CIF:
```
data_RbCdInBr6
_cell_length_a 7.1843
_cell_length_b 7.1843
_cell_length_c 7.6802
_cell_angle_alpha 90.00
_cell_angle_beta 90.00
_cell_angle_gamma 120.00
_symmetry_space_group_name_H-M 'P 3 1 2'
_symmetry_Int_Tables_number 149
loop_
_symmetry_equiv_pos_as_xyz
'x,y,z'
'-y,x-y,z'
'-x+y,-x,z'
'-y,-x,-z'
'-x+y,y,-z'
'x,x-y,-z'
loop_
_atom_site_label
_atom_site_fract_x
_atom_site_fract_y
_atom_site_fract_z
_atom_site_occupancy
Rb1 0.0000 0.0000 0.0000 1
Cd1 0.3333 0.6667 0.5000 1
In1 0.6667 0.3333 0.5000 1
Br1 0.3775 0.0092 0.7077 1
```

(7)
A plane-wave DFT calculation with PBE was carried out for a relaxed structure of Ni3AsRh.

Computed properties:
For the total magnetization, the calculation gives 2.02 μB per formula unit. The energy above the lowest structure with this stoichiometry comes out at 0.00 kJ per mole of atoms. The calculation puts the calculated formation energy at 667 meV/atom. The calculation puts the density of states at the Fermi level at 11.61 states/eV/cell.

Cell and atoms, written as CIF:
```
data_Ni3AsRh
_cell_length_a 4.2763
_cell_length_b 4.2763
_cell_length_c 4.2763
_cell_angle_alpha 90.00
_cell_angle_beta 90.00
_cell_angle_gamma 90.00
_symmetry_space_group_name_H-M 'P m -3 m'
_symmetry_Int_Tables_number 221
_symmetry_space_group_name_Hall '-P 4 2 3'
loop_
_atom_site_label
_atom_site_fract_x
_atom_site_fract_y
_atom_site_fract_z
_atom_site_occupancy
Ni1 0.0000 0.0000 0.5000 1
As1 0.0000 0.0000 0.0000 1
Rh1 0.5000 0.5000 0.5000 1
```

(8)
A plane-wave DFT calculation with PBE was carried out for a relaxed structure of UFe2H6.

Computed properties:
For the total magnetization, the calculation gives 0.74 μB per formula unit. The calculation puts the density of states at the Fermi level at 17.03 states/eV/cell. The calculation puts the total DFT energy (no corrections) at -98.7 eV/cell.

Cell and atoms, written as CIF:
```
data_UFe2H6
_cell_length_a 4.2278
_cell_length_b 7.6322
_cell_length_c 4.1547
_cell_angle_alpha 90.00
_cell_angle_beta 90.33
_cell_angle_gamma 90.00
_symmetry_space_group_name_H-M 'C 1 2/m 1'
_symmetry_Int_Tables_number 12
loop_
_symmetry_equiv_pos_as_xyz
'x,y,z'
'-x,-y,-z'
'-x,y,-z'
'x,-y,z'
'x+1/2,y+1/2,z'
'-x+1/2,-y+1/2,-z'
'-x+1/2,y+1/2,-z'
'x+1/2,-y+1/2,z'
loop_
_atom_site_label
_atom_site_fract_x
_atom_site_fract_y
_atom_site_fract_z
_atom_site_occupancy
U1 0.0000 0.0000 0.0000 1
Fe1 0.0000 0.3359 0.5000 1
H1 0.2488 0.2504 0.2241 1
H2 0.2498 0.0000 0.5016 1
```

(9)
A plane-wave DFT calculation with PBE was carried out for a relaxed structure of Ti2FeW.

Computed properties:
For the total magnetization, the calculation gives 0.00 μB per formula unit. The calculation puts the calculated formation energy at -89 meV/atom. The calculation puts the density of states at the Fermi level at 4.58 states/eV/cell.

Cell and atoms, written as CIF:
```
data_Ti2FeW
_cell_length_a 4.3539
_cell_length_b 4.3539
_cell_length_c 3.0825
_cell_angle_alpha 90.00
_cell_angle_beta 90.00
_cell_angle_gamma 90.00
_symmetry_space_group_name_H-M 'P 4/m m m'
_symmetry_Int_Tables_number 123
_symmetry_space_group_name_Hall '-P 4 2'
loop_
_atom_site_label
_atom_site_fract_x
_atom_site_fract_y
_atom_site_fract_z
_atom_site_occupancy
Ti1 0.0000 0.5000 0.0000 1
Fe1 0.0000 0.0000 0.5000 1
W1 0.5000 0.5000 0.5000 1
```

(10)
A plane-wave DFT calculation with PBE was carried out for a relaxed structure of Y3Er2Tm6Pu.

Computed properties:
For the total magnetization, the calculation gives 6.46 μB per formula unit. The calculation puts the calculated formation energy at 48 meV/atom. The calculation puts the density of states at the Fermi level at 49.55 states/eV/cell.

Cell and atoms, written as CIF:
```
data_Y3Er2Tm6Pu
_cell_length_a 6.0687
_cell_length_b 10.5093
_cell_length_c 11.5766
_cell_angle_alpha 90.00
_cell_angle_beta 100.08
_cell_angle_gamma 90.00
_symmetry_space_group_name_H-M 'C 1 2/m 1'
_symmetry_Int_Tables_number 12
loop_
_symmetry_equiv_pos_as_xyz
'x,y,z'
'-x,-y,-z'
'-x,y,-z'
'x,-y,z'
'x+1/2,y+1/2,z'
'-x+1/2,-y+1/2,-z'
'-x+1/2,y+1/2,-z'
'x+1/2,-y+1/2,z'
loop_
_atom_site_label
_atom_site_fract_x
_atom_site_fract_y
_atom_site_fract_z
_atom_site_occupancy
Y1 0.0000 0.0000 0.0000 1
Y2 0.0000 0.3326 0.0000 1
Er1 0.0000 0.1666 0.5000 1
Tm1 0.2470 0.3353 0.7465 1
Tm2 0.2472 0.5000 0.2535 1
Pu1 0.0000 0.5000 0.5000 1
```

(11)
A plane-wave DFT calculation with PBE was carried out for a relaxed structure of LiCu2Te2.

Computed properties:
For the total magnetization, the calculation gives 0.00 μB per formula unit. The energy above the lowest structure with this stoichiometry comes out at 20.07 kJ per mole of atoms. The calculation puts the density of states at the Fermi level at 3.49 states/eV/cell.

Cell and atoms, written as CIF:
```
data_LiCu2Te2
_cell_length_a 7.6455
_cell_length_b 7.6455
_cell_length_c 3.5019
_cell_angle_alpha 90.00
_cell_angle_beta 90.00
_cell_angle_gamma 90.00
_symmetry_space_group_name_H-M 'P 4/m b m'
_symmetry_Int_Tables_number 127
_symmetry_space_group_name_Hall '-P 4 2ab'
loop_
_atom_site_label
_atom_site_fract_x
_atom_site_fract_y
_atom_site_fract_z
_atom_site_occupancy
Li1 0.0000 0.0000 0.0000 1
Cu1 0.1164 0.3836 0.5000 1
Te1 0.1816 0.6816 0.0000 1
```

(12)
A plane-wave DFT calculation with PBE was carried out for a relaxed structure of Li3Hg2Pd3.

Computed properties:
For the total magnetization, the calculation gives 0.00 μB per formula unit. The energy above the lowest structure with this stoichiometry comes out at 5.03 kJ per mole of atoms. The calculation puts the calculated formation energy at -360 meV/atom. The calculation puts the density of states at the Fermi level at 6.63 states/eV/cell.

Cell and atoms, written as CIF:
```
data_Li3Hg2Pd3
_cell_length_a 13.3579
_cell_length_b 4.4646
_cell_length_c 4.6701
_cell_angle_alpha 90.00
_cell_angle_beta 110.30
_cell_angle_gamma 90.00
_symmetry_space_group_name_H-M 'C 1 2/m 1'
_symmetry_Int_Tables_number 12
loop_
_symmetry_equiv_pos_as_xyz
'x,y,z'
'-x,-y,-z'
'-x,y,-z'
'x,-y,z'
'x+1/2,y+1/2,z'
'-x+1/2,-y+1/2,-z'
'-x+1/2,y+1/2,-z'
'x+1/2,-y+1/2,z'
loop_
_atom_site_label
_atom_site_fract_x
_atom_site_fract_y
_atom_site_fract_z
_atom_site_occupancy
Li1 0.0000 0.0000 0.0000 1
Li2 0.1206 0.0000 0.6214 1
Hg1 0.2437 0.5000 0.7434 1
Pd1 0.0000 0.5000 0.5000 1
Pd2 0.1147 0.5000 0.1144 1
```

(13)
A plane-wave DFT calculation with PBE was carried out for a relaxed structure of CoTcHIr2.

Computed properties:
For the total magnetization, the calculation gives 1.19 μB per formula unit. The calculation puts the density of states at the Fermi level at 6.49 states/eV/cell. The calculation puts the total DFT energy (no corrections) at -37.9 eV/cell.

Cell and atoms, written as CIF:
```
data_CoTcHIr2
_cell_length_a 3.8748
_cell_length_b 3.8748
_cell_length_c 3.7963
_cell_angle_alpha 90.00
_cell_angle_beta 90.00
_cell_angle_gamma 90.00
_symmetry_space_group_name_H-M 'P 4/m m m'
_symmetry_Int_Tables_number 123
_symmetry_space_group_name_Hall '-P 4 2'
loop_
_atom_site_label
_atom_site_fract_x
_atom_site_fract_y
_atom_site_fract_z
_atom_site_occupancy
Co1 0.0000 0.0000 0.0000 1
Tc1 0.5000 0.5000 0.0000 1
H1 0.0000 0.0000 0.5000 1
Ir1 0.0000 0.5000 0.5000 1
```